{"formula": "Th2NpN3", "functional": "GGA-PBE", "state": "relaxed", "lattice_angstrom": [[-4.930, -1.134, 3.611], [5.434, -2.765, 1.208], [1.343, 5.786, 1.867]], "species": ["Th", "Th", "N", "Th", "N", "Np", "N", "Np", "N", "N", "Th", "N"], "frac_coords": [[0.167, 0.833, 0.500], [0.333, 0.667, 0.000], [0.604, 0.938, 0.772], [0.500, 0.500, 0.500], [0.062, 0.396, 0.228], [0.000, 0.000, 0.000], [0.412, 0.091, 0.235], [0.667, 0.333, 0.000], [0.909, 0.588, 0.765], [0.758, 0.745, 0.235], [0.833, 0.167, 0.500], [0.255, 0.242, 0.765]], "e_form_raw_ev_per_atom": -1.3845, "magmom_total_mub_per_cell": 6.39, "dos_at_fermi_per_ev_cell": 16.91}